Here is crystalline Ga2Sn2S5 at its relaxed geometry from the Alexandria database. Energies are from GGA-PBEsol.

Calculated values
Energy relative to the elements, uncorrected = -0.6028 eV per atom
Total magnetization = 0.00 Bohr magnetons per cell
E = -4.73 eV/atom

a b c (Å): 12.293 6.189 10.752
angles (deg): 90.00 90.00 90.00
Sites, in units of the cell vectors:
Ga (0.179, 0.141, 0.000)
Ga (0.233, 0.634, 0.830)
Ga (0.267, 0.134, 0.330)
Ga (0.321, 0.641, 0.500)
Ga (0.679, 0.359, 0.000)
Ga (0.733, 0.866, 0.830)
Ga (0.767, 0.366, 0.330)
Ga (0.821, 0.859, 0.500)
Sn (0.019, 0.445, 0.476)
Sn (0.049, 0.049, 0.694)
Sn (0.451, 0.549, 0.194)
Sn (0.481, 0.945, 0.976)
Sn (0.519, 0.055, 0.476)
Sn (0.549, 0.451, 0.694)
Sn (0.951, 0.951, 0.194)
Sn (0.981, 0.555, 0.976)
S (0.000, 0.134, 0.941)
S (0.000, 0.866, 0.441)
S (0.059, 0.634, 0.750)
S (0.170, 0.954, 0.183)
S (0.213, 0.487, 0.351)
S (0.225, 0.491, 0.024)
S (0.275, 0.991, 0.524)
S (0.287, 0.987, 0.851)
S (0.330, 0.454, 0.683)
S (0.441, 0.134, 0.250)
S (0.500, 0.366, 0.941)
S (0.500, 0.634, 0.441)
S (0.559, 0.866, 0.750)
S (0.670, 0.546, 0.183)
S (0.713, 0.013, 0.351)
S (0.725, 0.009, 0.024)
S (0.775, 0.509, 0.524)
S (0.787, 0.513, 0.851)
S (0.830, 0.046, 0.683)
S (0.941, 0.366, 0.250)

---

Here is crystalline GaSn3S at its relaxed geometry from the Alexandria database. Energies are from GGA-PBEsol.

Calculated values
Energy relative to the elements, uncorrected = 0.3456 eV per atom
Total magnetization = 0.00 Bohr magnetons per cell
E = -3.75 eV/atom

a b c (Å): 5.246 5.246 5.246
angles (deg): 90.00 90.00 90.00
Sites, in units of the cell vectors:
Ga (0.000, 0.000, 0.000)
Sn (0.000, 0.500, 0.500)
Sn (0.500, 0.000, 0.500)
Sn (0.500, 0.500, 0.000)
S (0.500, 0.500, 0.500)

---

Here is crystalline GaSnTe2S at its relaxed geometry from the Alexandria database. Energies are from GGA-PBEsol.

Calculated values
Energy relative to the elements, uncorrected = 0.3397 eV per atom
Total magnetization = 0.00 Bohr magnetons per cell
E = -3.47 eV/atom

a b c (Å): 5.632 5.632 4.948
angles (deg): 90.00 90.00 90.00
Sites, in units of the cell vectors:
Ga (0.000, 0.000, 0.000)
Sn (0.500, 0.500, 0.500)
Te (0.000, 0.500, 0.500)
Te (0.500, 0.000, 0.500)
S (0.500, 0.500, 0.000)

---

Here is crystalline SrGaS2 at its relaxed geometry from the Alexandria database. Energies are from GGA-PBEsol.

Calculated values
Energy relative to the elements, uncorrected = -1.0314 eV per atom
Total magnetization = 0.00 Bohr magnetons per cell
E = -4.52 eV/atom

a b c (Å): 7.793 7.793 7.793
angles (deg): 135.28 135.28 65.09
Sites, in units of the cell vectors:
Sr (0.000, 0.000, 0.000)
Sr (0.750, 0.250, 0.500)
Ga (0.250, 0.750, 0.500)
Ga (0.500, 0.500, 0.000)
S (0.187, 0.625, 0.062)
S (0.375, 0.437, 0.562)
S (0.563, 0.125, 0.938)
S (0.875, 0.813, 0.438)

---

Here is crystalline GaTcS3 at its relaxed geometry from the Alexandria database. Energies are from GGA-PBEsol.

Calculated values
Energy relative to the elements, uncorrected = 0.8584 eV per atom
Total magnetization = 3.96 Bohr magnetons per cell
E = -4.69 eV/atom

a b c (Å): 4.597 4.597 4.597
angles (deg): 90.00 90.00 90.00
Sites, in units of the cell vectors:
Ga (0.000, 0.000, 0.000)
Tc (0.500, 0.500, 0.500)
S (0.000, 0.000, 0.500)
S (0.000, 0.500, 0.000)
S (0.500, 0.000, 0.000)

---

Here is crystalline GaTcS2 at its relaxed geometry from the Alexandria database. Energies are from GGA-PBEsol.

Calculated values
Energy relative to the elements, uncorrected = 0.0996 eV per atom
Total magnetization = 0.00 Bohr magnetons per cell
E = -5.74 eV/atom

a b c (Å): 7.657 7.657 7.657
angles (deg): 24.33 24.33 24.33
Sites, in units of the cell vectors:
Ga (0.000, 0.000, 0.000)
Tc (0.500, 0.500, 0.500)
S (0.400, 0.400, 0.400)
S (0.600, 0.600, 0.600)